Here is an optimized crystal structure of CeReSi3Tc from Alexandria via LeMat-Bulk. Energies are from PBE.

a = 6.675 Å, b = 6.675 Å, c = 5.672 Å
α = 90.00°, β = 90.00°, γ = 109.82°
Fractional positions:
Ce 0.250 0.750 0.750
Ce 0.750 0.250 0.250
Re 0.044 0.956 0.250
Re 0.956 0.044 0.750
Si 0.251 0.251 0.000
Si 0.251 0.251 0.500
Si 0.251 0.749 0.250
Si 0.749 0.251 0.750
Si 0.749 0.749 0.000
Si 0.749 0.749 0.500
Tc 0.457 0.543 0.250
Tc 0.543 0.457 0.750

* raw formation energy: -26 kJ/mol of atoms
* SG: Cmcm
* V: 118.9 Å³/f.u.